(1)
La8TcRu2: optimized geometry, PBE.

Cell lengths 13.311, 8.448, 6.785 Å; angles 90.00, 106.57, 90.00 degrees
Space group C2/m (No. 12)
Inequivalent atoms, fractional coordinates:
La 0.108 0.000 0.249 (multiplicity 4)
La 0.128 0.500 0.249 (multiplicity 4)
La 0.133 0.269 0.756 (multiplicity 8)
Tc 0.000 0.500 0.500 (multiplicity 2)
Ru 0.209 0.000 0.971 (multiplicity 4)

Computed properties:
The spin magnetization comes out at 0.000 Bohr magnetons per cell. The density of states at the Fermi level is 0.933 states/eV/atom. The formation energy comes out at -0.12 eV/atom. The volume is 33.2 A^3/atom.

(2)
La6TcRu: optimized geometry, PBE.

Cell lengths 6.8748, 6.8748, 13.3942 Å; angles 90.00, 90.00, 120.00 degrees
Space group P-31c (No. 163)
Inequivalent atoms, fractional coordinates:
La 0.9999 0.3345 0.1242 (multiplicity 12)
Tc 0.0000 0.0000 0.0000 (multiplicity 2)
Ru 0.3333 0.6667 0.7500 (multiplicity 2)

Computed properties:
The spin magnetization comes out at 0.000 Bohr magnetons per cell. The density of states at the Fermi level is 0.912 states/eV/atom. The formation energy comes out at -0.09 eV/atom. The volume is 34.3 A^3/atom.

(3)
LaTc2Ru2: optimized geometry, PBE.

Cell lengths 4.387, 4.387, 10.049 Å; angles 90.00, 90.00, 90.00 degrees
Space group I4/mmm (No. 139)
Inequivalent atoms, fractional coordinates:
La 0.000 0.000 0.000 (multiplicity 2)
Tc 0.000 0.500 0.250 (multiplicity 4)
Ru 0.000 0.000 0.370 (multiplicity 4)

Computed properties:
The spin magnetization comes out at 0.000 Bohr magnetons per cell. The density of states at the Fermi level is 1.148 states/eV/atom. The formation energy comes out at 0.06 eV/atom. The volume is 19.3 A^3/atom.

Question: Which formula does entry 2 have?
Answer: La6TcRu